Record 1
VASP calculation (PBE) on an optimized crystal structure of MnVRePd.

abc: 4.309 4.309 4.309
angles: 60.00 60.00 60.00
Last column: magnetic moment on the atom in μB.
Fractional coordinates of all 4 atoms:
Re1 0.750 0.750 0.750  -0.34
Mn1 0.000 0.000 0.000  3.00
Pd1 0.250 0.250 0.250  0.15
V1 0.500 0.500 0.500  0.73

Summary:
E_form: 0.6 kJ per mole of atoms
Symmetry: F-43m, No. 216
Total magnetization: 3.69 μB/cell
DOS(E_F): 4.745 states/eV/f.u.

Record 2
VASP calculation (PBE) on an optimized crystal structure of V2MoPd.

abc: 3.195 4.257 4.257
angles: 90.00 90.00 90.00
Last column: magnetic moment on the atom in μB.
Fractional coordinates of all 4 atoms:
Mo1 0.500 0.500 0.500  -0.05
Pd1 0.500 0.000 0.000  0.03
V1 0.000 0.000 0.500  0.11
V2 0.000 0.500 0.000  0.11

Summary:
E_form: -7.4 kJ per mole of atoms
Symmetry: P4/mmm, No. 123
Total magnetization: 0.21 μB/cell
DOS(E_F): 4.734 states/eV/f.u.

Record 3
VASP calculation (PBE) on an optimized crystal structure of In2PRh.

abc: 6.098 6.098 7.253
angles: 65.14 65.14 90.00
Fractional coordinates of all 8 atoms:
P1 0.500 0.500 0.000
P2 0.250 0.750 0.500
Rh1 0.000 0.000 0.000
Rh2 0.750 0.250 0.500
In1 0.621 0.125 0.250
In2 0.129 0.625 0.250
In3 0.375 0.379 0.750
In4 0.875 0.871 0.750

Summary:
E_form: 26.1 kJ per mole of atoms
Symmetry: I-42d, No. 122
Total magnetization: 0.00 μB/cell
DOS(E_F): 0.000 states/eV/f.u.